Entry from Alexandria: crystalline Ce2PrSmBi5 at its relaxed geometry (PBE-GGA).

It has space group P4/mmm (No. 123), with a = 5.520 Å, b = 5.520 Å, c = 12.120 Å, α = 90.00°, β = 90.00° and γ = 90.00°. Symmetry generates all atoms from Ce at (0.000, 0.000, 0.221), Pr at (0.500, 0.500, 0.500), Sm at (0.500, 0.500, 0.000), Bi at (0.000, 0.000, 0.500), Bi at (0.000, 0.500, 0.000) and Bi at (0.500, 0.500, 0.251).

The value obtained for the density of states at the Fermi level is 21.6 states/eV/f.u. As for the total magnetic moment: 0.23 μB per atom. Its total energy is -4.602 eV/atom. The formation energy is -0.6 eV per formula unit.

---

Entry from Alexandria: crystalline ScTa2Ag at its relaxed geometry (PBE-GGA).

It has space group P2/m (No. 10), with a = 2.864 Å, b = 5.090 Å, c = 5.274 Å, α = 90.00°, β = 99.35° and γ = 90.00°. Symmetry generates all atoms from Sc at (0.000, 0.000, 0.000), Ta at (0.284, 0.500, 0.752) and Ag at (0.500, 0.000, 0.500).

The energy above the lowest structure with this stoichiometry is 121 meV/atom. The value obtained for the density of states at the Fermi level is 3.9 states/eV/f.u. As for the total magnetic moment: 0.00 μB per atom. Its total energy is -8.002 eV/atom. The formation energy is 0.9 eV per formula unit.